Arrangement 1

MnIrSe4 | GGA-PBE | optimized geometry

For the density, the calculation gives 7.43 Mg/m³. The calculation puts the total moment at 2.8 Bohr magnetons per cell.

Lattice parameters (Å, degrees): 5.483 3.710 6.190 90.00 90.39 90.00
Atoms (fractional coordinates):
Mn: 0.000 0.000 0.000
Ir: 0.000 0.500 0.500
Se: 0.247 0.500 0.160
Se: 0.249 0.000 0.662
Se: 0.751 0.000 0.338
Se: 0.753 0.500 0.840

Arrangement 2

MnIrSe4 | GGA-PBE | optimized geometry

For the density, the calculation gives 6.49 Mg/m³. The calculation puts the total moment at 2.5 Bohr magnetons per cell.

Lattice parameters (Å, degrees): 6.996 6.996 6.996 139.34 139.34 58.86
Atoms (fractional coordinates):
Mn: 0.000 0.000 0.000
Ir: 0.250 0.750 0.500
Se: 0.045 0.545 0.500
Se: 0.198 0.198 0.000
Se: 0.455 0.955 0.500
Se: 0.802 0.802 0.000

Arrangement 3

MnIrSe4 | GGA-PBE | optimized geometry

For the density, the calculation gives 7.83 Mg/m³. The calculation puts the total moment at 4.2 Bohr magnetons per cell.

Lattice parameters (Å, degrees): 5.527 5.527 5.527 60.00 60.00 60.00
Atoms (fractional coordinates):
Mn: 0.000 0.000 0.000
Ir: 0.250 0.250 0.250
Se: 0.128 0.624 0.624
Se: 0.624 0.128 0.624
Se: 0.624 0.624 0.128
Se: 0.624 0.624 0.624

arrangement 3 is the least stable structure shown above.